Below is CePrEuLu after structural relaxation, with properties calculated at the PBE-GGA level.

Calculated values
Formation energy ... 230.1 meV/atom
Total moment ... 9.3 μB/f.u.
DFT total energy ... -0.4518 Ry/atom

The structure in CIF format:
```
data_CePrEuLu
_chemical_formula_sum 'Ce4 Pr4 Eu4 Lu4'
_cell_length_a 8.192
_cell_length_b 8.192
_cell_length_c 8.192
_cell_angle_alpha 90.00
_cell_angle_beta 90.00
_cell_angle_gamma 90.00
_symmetry_space_group_name_H-M 'F -4 3 m'
_symmetry_Int_Tables_number 216
_symmetry_space_group_name_Hall 'F -4 2 3'
loop_
_atom_site_label
_atom_site_type_symbol
_atom_site_fract_x
_atom_site_fract_y
_atom_site_fract_z
Ce1 Ce 0.000 0.000 0.000
Pr1 Pr 0.250 0.250 0.750
Eu1 Eu 0.000 0.000 0.500
Lu1 Lu 0.250 0.250 0.250
```